The following is a GGA-PBE calculation of a geometry-optimized Cd2SiSbH structure, from the Alexandria database.

The structure in POSCAR format:
```
Cd2SiSbH
1.0
5.451 0.000 0.000
0.000 5.451 0.000
0.000 0.000 3.369
Cd Si Sb H
2 1 1 1
direct
0.000 0.500 0.000
0.500 0.000 0.000
0.000 0.000 0.000
0.500 0.500 0.500
0.000 0.000 0.500
```

## Properties
Symmetry: P4/mmm
Density of states at the Fermi level in states/eV/cell: 2.3
Total energy in eV/atom: -2.665